Record 1
The following is a GGA-PBE calculation of an optimized crystal structure of FeRe2Pb, from the Alexandria database.

a b c (Å): 4.8170 4.8170 4.8956
angles (deg): 100.85 100.85 36.78
Closest atoms and distances in Å follow each position.
Element x y z (fractional)
Fe: 0.0000 0.0000 0.0000  6 Re 2.63-2.81, 4 Pb 2.88
Re: 0.2684 0.2684 0.8012  2 Re 2.54, 3 Fe 2.63-2.81, 1 Pb 2.81
Re: 0.7316 0.7316 0.1988  2 Re 2.54, 3 Fe 2.63-2.81, 1 Pb 2.81
Pb: 0.5000 0.5000 0.5000  6 Re 2.81-3.01, 4 Fe 2.88, 2 Pb 3.04

Calculated values
E_form in eV per atom: 0.681
Calculated density in g/cm³: 15.830

Record 2
The following is a GGA-PBE calculation of an optimized crystal structure of MgNiPt2, from the Alexandria database.

a b c (Å): 4.5626 2.8399 4.7535
angles (deg): 90.00 108.06 90.00
Closest atoms and distances in Å follow each position.
Element x y z (fractional)
Mg: 0.0000 0.0000 0.0000  6 Pt 2.69-2.74, 4 Ni 2.77, 2 Mg 2.84
Ni: 0.0000 0.5000 0.5000  6 Pt 2.69-2.74, 4 Mg 2.77, 2 Ni 2.84
Pt: 0.5000 0.0000 0.5000  4 Ni 2.69, 2 Mg 2.74, 6 Pt 2.77-2.84
Pt: 0.5000 0.5000 0.0000  4 Mg 2.69, 2 Ni 2.74, 6 Pt 2.77-2.84

Calculated values
E_form in eV per atom: -0.415
Calculated density in g/cm³: 13.418